The following is a PBE calculation of crystalline BaCaHgO3 at its relaxed geometry, from Alexandria.

Cell lengths 3.608, 6.140, 9.270 Å; angles 98.77, 90.00, 90.00 degrees
Fractional positions:
O1 0.750 0.252 0.516
O2 0.250 0.456 0.858
O3 0.250 0.748 0.484
O4 0.750 0.544 0.142
O5 0.750 0.031 0.149
O6 0.250 0.969 0.851
Ba1 0.750 0.665 0.697
Ba2 0.250 0.335 0.303
Hg1 0.250 0.149 0.651
Hg2 0.750 0.851 0.349
Ca1 0.750 0.242 0.950
Ca2 0.250 0.758 0.050

Properties
- total moment (μB/cell) = 0.000
- raw formation energy (meV/atom) = -1887
- calculated total energy (eV for the cell shown) = -60.843